No. 1
{
  "formula": "Pm2HoTm2Mg5",
  "functional": "PBE",
  "state": "optimized geometry",
  "dos_ef_per_ev_fu": 6.7,
  "vol_a3_per_fu": 282.6,
  "total_energy_ev_per_atom": -3.0578,
  "spacegroup": "P4/mbm",
  "cell": [[5.054, 0.000, 0.000], [0.000, 10.575, 0.000], [0.000, 0.000, 10.575]],
  "species": ["Pm", "Mg", "Mg", "Tm", "Mg", "Mg", "Pm", "Tm", "Mg", "Ho", "Mg", "Mg", "Tm", "Mg", "Pm", "Tm", "Pm", "Ho", "Mg", "Mg"],
  "fractional_positions": [[0.000, 0.177, 0.323], [0.500, 0.931, 0.199], [0.500, 0.699, 0.431], [0.000, 0.119, 0.619], [0.500, 0.000, 0.500], [0.500, 0.199, 0.069], [0.000, 0.323, 0.823], [0.000, 0.619, 0.881], [0.500, 0.301, 0.569], [0.000, 0.500, 0.500], [0.500, 0.569, 0.699], [0.500, 0.431, 0.301], [0.000, 0.381, 0.119], [0.500, 0.801, 0.931], [0.000, 0.677, 0.177], [0.000, 0.881, 0.381], [0.000, 0.823, 0.677], [0.000, 0.000, 0.000], [0.500, 0.500, 0.000], [0.500, 0.069, 0.801]]
}

No. 2
{
  "formula": "Pm4Ho2TmMg",
  "functional": "PBE",
  "state": "optimized geometry",
  "dos_ef_per_ev_fu": 10.7,
  "vol_a3_per_fu": 252.3,
  "total_energy_ev_per_atom": -4.2686,
  "spacegroup": "P4/mmm",
  "cell": [[-2.121, -1.196, 4.421], [4.264, -2.303, 1.423], [7.561, 6.182, 5.301]],
  "species": ["Pm", "Tm", "Pm", "Pm", "Ho", "Mg", "Ho", "Pm"],
  "fractional_positions": [[0.500, 0.248, 0.753], [0.000, 0.500, 0.500], [0.000, 0.747, 0.753], [0.000, 0.253, 0.247], [0.000, 0.000, 0.000], [0.500, 0.500, 0.000], [0.500, 0.000, 0.500], [0.500, 0.752, 0.247]]
}

Repeat the first record exactly.
{
  "formula": "Pm2HoTm2Mg5",
  "functional": "PBE",
  "state": "optimized geometry",
  "dos_ef_per_ev_fu": 6.7,
  "vol_a3_per_fu": 282.6,
  "total_energy_ev_per_atom": -3.0578,
  "spacegroup": "P4/mbm",
  "cell": [[5.054, 0.000, 0.000], [0.000, 10.575, 0.000], [0.000, 0.000, 10.575]],
  "species": ["Pm", "Mg", "Mg", "Tm", "Mg", "Mg", "Pm", "Tm", "Mg", "Ho", "Mg", "Mg", "Tm", "Mg", "Pm", "Tm", "Pm", "Ho", "Mg", "Mg"],
  "fractional_positions": [[0.000, 0.177, 0.323], [0.500, 0.931, 0.199], [0.500, 0.699, 0.431], [0.000, 0.119, 0.619], [0.500, 0.000, 0.500], [0.500, 0.199, 0.069], [0.000, 0.323, 0.823], [0.000, 0.619, 0.881], [0.500, 0.301, 0.569], [0.000, 0.500, 0.500], [0.500, 0.569, 0.699], [0.500, 0.431, 0.301], [0.000, 0.381, 0.119], [0.500, 0.801, 0.931], [0.000, 0.677, 0.177], [0.000, 0.881, 0.381], [0.000, 0.823, 0.677], [0.000, 0.000, 0.000], [0.500, 0.500, 0.000], [0.500, 0.069, 0.801]]
}

Please write out number 1 again, unchanged.
{
  "formula": "Pm2HoTm2Mg5",
  "functional": "PBE",
  "state": "optimized geometry",
  "dos_ef_per_ev_fu": 6.7,
  "vol_a3_per_fu": 282.6,
  "total_energy_ev_per_atom": -3.0578,
  "spacegroup": "P4/mbm",
  "cell": [[5.054, 0.000, 0.000], [0.000, 10.575, 0.000], [0.000, 0.000, 10.575]],
  "species": ["Pm", "Mg", "Mg", "Tm", "Mg", "Mg", "Pm", "Tm", "Mg", "Ho", "Mg", "Mg", "Tm", "Mg", "Pm", "Tm", "Pm", "Ho", "Mg", "Mg"],
  "fractional_positions": [[0.000, 0.177, 0.323], [0.500, 0.931, 0.199], [0.500, 0.699, 0.431], [0.000, 0.119, 0.619], [0.500, 0.000, 0.500], [0.500, 0.199, 0.069], [0.000, 0.323, 0.823], [0.000, 0.619, 0.881], [0.500, 0.301, 0.569], [0.000, 0.500, 0.500], [0.500, 0.569, 0.699], [0.500, 0.431, 0.301], [0.000, 0.381, 0.119], [0.500, 0.801, 0.931], [0.000, 0.677, 0.177], [0.000, 0.881, 0.381], [0.000, 0.823, 0.677], [0.000, 0.000, 0.000], [0.500, 0.500, 0.000], [0.500, 0.069, 0.801]]
}